A relaxed PuAg2I6 crystal. Source: the Alexandria database, functional PBE.

Output
- Total energy: -68.70 eV for the cell shown
- Density: 4.76 g/cm³

```
18
Lattice="-2.527 -4.533 5.848 -6.277 -7.525 -4.642 7.072 -8.197 0.606" Properties=species:S:1:pos:R:3 pbc="T T T"
Ag -2.920 -12.648 2.171
I -5.135 -8.809 0.919
I -5.346 -13.336 0.875
I -0.112 -8.450 2.067
Pu -7.072 -10.980 0.177
I -0.937 -14.169 3.434
Ag -2.547 -9.749 1.593
Pu 5.340 -9.275 1.636
I -2.959 -5.563 4.105
I 3.614 -6.919 0.937
I -1.620 -11.805 -0.255
I -1.878 -16.866 -0.093
I 1.227 -14.692 -2.293
I 0.145 -3.389 1.905
Ag 1.188 -7.607 -0.359
Ag 0.815 -10.506 0.219
I -0.795 -6.086 -1.622
I 3.403 -11.446 0.894
```